YTcW2: relaxed, PBE.

Values from the calculation:
- relative energy among the computed polymorphs (eV/f.u.) = 0.406
- symmetry = No. 216
- VASP energy (eV/atom) = -10.35
- DFT formation energy (eV per atom) = 0.33
- calculated density (Mg/m³) = 13.06

Lattice parameters (Å, degrees): 4.6372 4.6372 4.6372 60.00 60.00 60.00
With the nearest neighbours (Å) after each atom.
Fractional coordinates of all 4 atoms:
Y: 0.0000 0.0000 0.0000  4 Tc 2.84, 4 W 2.84
Tc: 0.7500 0.7500 0.7500  4 W 2.84, 4 Y 2.84
W: 0.2500 0.2500 0.2500  4 W 2.84, 4 Y 2.84
W: 0.5000 0.5000 0.5000  4 Tc 2.84, 4 W 2.84

YTcW2: relaxed, PBE.

Values from the calculation:
- relative energy among the computed polymorphs (eV/f.u.) = 1.385
- symmetry = No. 166
- VASP energy (eV/atom) = -10.11
- DFT formation energy (eV per atom) = 0.58
- calculated density (Mg/m³) = 12.76

Lattice parameters (Å, degrees): 9.7264 9.7264 9.7264 17.44 17.44 17.44
With the nearest neighbours (Å) after each atom.
Fractional coordinates of all 4 atoms:
Y: 0.0000 0.0000 0.0000  6 Y 2.95, 6 W 3.15
Tc: 0.5000 0.5000 0.5000  6 W 2.74, 6 Tc 2.95
W: 0.2412 0.2412 0.2412  3 Tc 2.74, 6 W 2.95
W: 0.7588 0.7588 0.7588  3 Tc 2.74, 6 W 2.95

YTcW2: relaxed, PBE.

Values from the calculation:
- relative energy among the computed polymorphs (eV/f.u.) = 2.298
- symmetry = No. 122
- VASP energy (eV/atom) = -9.88
- DFT formation energy (eV per atom) = 0.81
- calculated density (Mg/m³) = 11.49

Lattice parameters (Å, degrees): 6.0500 6.0500 6.0500 102.12 102.12 125.45
With the nearest neighbours (Å) after each atom.
Fractional coordinates of all 8 atoms:
Y: 0.0000 0.0000 0.0000  2 Tc 2.77, 4 W 3.05
Y: 0.7500 0.2500 0.5000  2 Tc 2.77, 4 W 3.05
Tc: 0.2500 0.7500 0.5000  4 W 2.53, 2 Y 2.77
Tc: 0.5000 0.5000 0.0000  4 W 2.53, 2 Y 2.77
W: 0.1755 0.6250 0.0505  2 Tc 2.53
W: 0.3750 0.4255 0.5505  2 Tc 2.53
W: 0.5745 0.1250 0.9495  2 Tc 2.53
W: 0.8750 0.8245 0.4495  2 Tc 2.53

Repeat the second record exactly.
YTcW2: relaxed, PBE.

Values from the calculation:
- relative energy among the computed polymorphs (eV/f.u.) = 1.385
- symmetry = No. 166
- VASP energy (eV/atom) = -10.11
- DFT formation energy (eV per atom) = 0.58
- calculated density (Mg/m³) = 12.76

Lattice parameters (Å, degrees): 9.7264 9.7264 9.7264 17.44 17.44 17.44
With the nearest neighbours (Å) after each atom.
Fractional coordinates of all 4 atoms:
Y: 0.0000 0.0000 0.0000  6 Y 2.95, 6 W 3.15
Tc: 0.5000 0.5000 0.5000  6 W 2.74, 6 Tc 2.95
W: 0.2412 0.2412 0.2412  3 Tc 2.74, 6 W 2.95
W: 0.7588 0.7588 0.7588  3 Tc 2.74, 6 W 2.95

Please write out number 2 again, unchanged.
YTcW2: relaxed, PBE.

Values from the calculation:
- relative energy among the computed polymorphs (eV/f.u.) = 1.385
- symmetry = No. 166
- VASP energy (eV/atom) = -10.11
- DFT formation energy (eV per atom) = 0.58
- calculated density (Mg/m³) = 12.76

Lattice parameters (Å, degrees): 9.7264 9.7264 9.7264 17.44 17.44 17.44
With the nearest neighbours (Å) after each atom.
Fractional coordinates of all 4 atoms:
Y: 0.0000 0.0000 0.0000  6 Y 2.95, 6 W 3.15
Tc: 0.5000 0.5000 0.5000  6 W 2.74, 6 Tc 2.95
W: 0.2412 0.2412 0.2412  3 Tc 2.74, 6 W 2.95
W: 0.7588 0.7588 0.7588  3 Tc 2.74, 6 W 2.95

- What is the formula in the second record?
  YTcW2